(1)
# KScGaGe2

KScGaGe2 at its PBEsol-relaxed geometry (SCAN, the Alexandria database).

a b c (Å): 5.136 5.136 5.303
angles (deg): 90.00 90.00 90.00
Atoms (fractional coordinates):
K 0.000 0.000 0.000
Sc 0.500 0.500 0.500
Ga 0.500 0.500 0.000
Ge 0.000 0.500 0.500
Ge 0.500 0.000 0.500

Results
The total moment comes out at 0.00 μB/f.u. Its crystal system is tetragonal. For the calculated density, the calculation gives 3.6 g/cm³. The formation energy from the elements comes out at 0.13 eV per atom.

***

(2)
# MgMnAs

MgMnAs at its PBEsol-relaxed geometry (SCAN, the Alexandria database).

a b c (Å): 4.048 4.048 3.587
angles (deg): 90.00 90.00 120.00
Atoms (fractional coordinates):
Mg 0.000 0.000 0.000
Mn 0.667 0.333 0.500
As 0.333 0.667 0.500

Results
The total moment comes out at 3.42 μB/f.u. Its crystal system is hexagonal. For the calculated density, the calculation gives 5.0 g/cm³. The formation energy from the elements comes out at -0.21 eV per atom.

***

(3)
# Y2Cd3

Y2Cd3 at its PBEsol-relaxed geometry (SCAN, the Alexandria database).

a b c (Å): 8.213 6.073 9.249
angles (deg): 60.70 40.16 79.14
Atoms (fractional coordinates):
Y 0.230 0.770 0.377
Y 0.627 0.873 0.480
Y 0.770 0.230 0.623
Y 0.873 0.627 0.020
Cd 0.172 0.799 0.064
Cd 0.186 0.285 0.078
Cd 0.285 0.186 0.451
Cd 0.342 0.342 0.658
Cd 0.592 0.592 0.908
Cd 0.799 0.172 0.965

Results
The total moment comes out at 0.00 μB/f.u. Its crystal system is orthorhombic. For the calculated density, the calculation gives 7.0 g/cm³. The formation energy from the elements comes out at -0.41 eV per atom.

***

(4)
# Fe3GeRh

Fe3GeRh at its PBEsol-relaxed geometry (SCAN, the Alexandria database).

a b c (Å): 4.259 4.259 4.259
angles (deg): 90.00 90.00 90.00
Atoms (fractional coordinates):
Fe 0.000 0.000 0.500
Fe 0.000 0.500 0.000
Fe 0.500 0.000 0.000
Ge 0.000 0.000 0.000
Rh 0.500 0.500 0.500

Results
The total moment comes out at 9.34 μB/f.u. Its crystal system is cubic. For the calculated density, the calculation gives 7.4 g/cm³. The formation energy from the elements comes out at 0.96 eV per atom.

***

(5)
# HfGaAu

HfGaAu at its PBEsol-relaxed geometry (SCAN, the Alexandria database).

a b c (Å): 4.305 4.305 6.603
angles (deg): 90.00 90.00 120.00
Atoms (fractional coordinates):
Hf 0.000 0.000 0.000
Hf 0.000 0.000 0.500
Ga 0.333 0.667 0.212
Ga 0.333 0.667 0.788
Au 0.667 0.333 0.286
Au 0.667 0.333 0.714

Results
The total moment comes out at 0.00 μB/f.u. Its crystal system is hexagonal. For the calculated density, the calculation gives 14.0 g/cm³. The formation energy from the elements comes out at -0.72 eV per atom.

***

(6)
# CaSiNO2

CaSiNO2 at its PBEsol-relaxed geometry (SCAN, the Alexandria database).

a b c (Å): 3.638 3.638 3.582
angles (deg): 90.00 90.00 90.00
Atoms (fractional coordinates):
Ca 0.000 0.000 0.000
Si 0.500 0.500 0.500
N 0.500 0.500 0.000
O 0.000 0.500 0.500
O 0.500 0.000 0.500

Results
The total moment comes out at 0.98 μB/f.u. For the formation energy without anion corrections, the calculation gives -10.423 eV per formula unit. Its crystal system is tetragonal. For the calculated density, the calculation gives 4.0 g/cm³.

***

(7)
# MgTcIr2

MgTcIr2 at its PBEsol-relaxed geometry (SCAN, the Alexandria database).

a b c (Å): 2.810 4.473 4.604
angles (deg): 90.00 90.00 90.00
Atoms (fractional coordinates):
Mg 0.000 0.000 0.000
Tc 0.500 0.000 0.500
Ir 0.000 0.500 0.500
Ir 0.500 0.500 0.000

Results
The total moment comes out at 0.00 μB/f.u. Its crystal system is orthorhombic. For the calculated density, the calculation gives 14.5 g/cm³. The formation energy from the elements comes out at 0.05 eV per atom.

***

(8)
# Sn2PbAu2

Sn2PbAu2 at its PBEsol-relaxed geometry (SCAN, the Alexandria database).

a b c (Å): 4.419 4.419 12.286
angles (deg): 90.00 90.00 90.00
Atoms (fractional coordinates):
Sn 0.000 0.500 0.250
Sn 0.000 0.500 0.750
Sn 0.500 0.000 0.250
Sn 0.500 0.000 0.750
Pb 0.000 0.000 0.000
Pb 0.500 0.500 0.500
Au 0.000 0.000 0.392
Au 0.000 0.000 0.608
Au 0.500 0.500 0.108
Au 0.500 0.500 0.892

Results
The total moment comes out at 0.00 μB/f.u. Its crystal system is tetragonal. For the calculated density, the calculation gives 11.6 g/cm³. The formation energy from the elements comes out at -0.02 eV per atom.

***

- Among the records above, which one has the lowest calculated density?
  KScGaGe2